1.
# Dy8HgPb5 PBE relaxed
# ρ ... 10.25 g/cm³
# Energy relative to the elements ... -0.4831 eV per atom
# D(E_F) ... 9.8 states/eV/f.u.
data_Dy8HgPb5
_chemical_formula_sum 'Dy8 Hg1 Pb5'
_cell_length_a 8.112
_cell_length_b 8.112
_cell_length_c 8.112
_cell_angle_alpha 109.66
_cell_angle_beta 109.09
_cell_angle_gamma 109.66
_space_group_name_H-M_alt 'P 1'
_space_group_IT_number 1
loop_
_space_group_symop_operation_xyz
'x,y,z'
loop_
_atom_site_label
_atom_site_type_symbol
_atom_site_fract_x
_atom_site_fract_y
_atom_site_fract_z
Dy1 Dy 0.125 0.753 0.519
Dy2 Dy 0.481 0.606 0.234
Dy3 Dy 0.627 0.394 0.875
Dy4 Dy 0.266 0.250 0.381
Dy5 Dy 0.766 0.247 0.373
Dy6 Dy 0.130 0.750 0.016
Dy7 Dy 0.984 0.114 0.734
Dy8 Dy 0.619 0.886 0.870
Hg1 Hg 0.250 0.500 0.750
Pb1 Pb 0.500 0.000 0.500
Pb2 Pb 0.873 0.873 0.248
Pb3 Pb 0.752 0.625 0.625
Pb4 Pb 0.000 0.375 0.127
Pb5 Pb 0.375 0.127 0.000

2.
# HfBAu PBE relaxed
# ρ ... 14.37 g/cm³
# Energy relative to the elements ... -0.6568 eV per atom
# D(E_F) ... 1.1 states/eV/f.u.
data_HfBAu
_chemical_formula_sum 'Hf2 B2 Au2'
_cell_length_a 3.175
_cell_length_b 3.176
_cell_length_c 10.380
_cell_angle_alpha 98.79
_cell_angle_beta 89.94
_cell_angle_gamma 119.93
_space_group_name_H-M_alt 'P 1'
_space_group_IT_number 1
loop_
_space_group_symop_operation_xyz
'x,y,z'
loop_
_atom_site_label
_atom_site_type_symbol
_atom_site_fract_x
_atom_site_fract_y
_atom_site_fract_z
Hf1 Hf 0.474 0.476 0.204
Hf2 Hf 0.582 0.696 0.535
B1 B 0.195 0.919 0.369
B2 B 0.862 0.253 0.369
Au1 Au 0.322 0.174 0.753
Au2 Au 0.065 0.661 0.985

3.
# ScOs2Pb PBE relaxed
# ρ ... 14.96 g/cm³
# Energy relative to the elements ... 0.3638 eV per atom
# D(E_F) ... 5.0 states/eV/f.u.
data_ScOs2Pb
_chemical_formula_sum 'Sc1 Os2 Pb1'
_cell_length_a 5.225
_cell_length_b 5.225
_cell_length_c 5.225
_cell_angle_alpha 135.02
_cell_angle_beta 135.02
_cell_angle_gamma 65.50
_space_group_name_H-M_alt 'P 1'
_space_group_IT_number 1
loop_
_space_group_symop_operation_xyz
'x,y,z'
loop_
_atom_site_label
_atom_site_type_symbol
_atom_site_fract_x
_atom_site_fract_y
_atom_site_fract_z
Pb1 Pb 0.500 0.500 0.000
Os1 Os 0.250 0.750 0.500
Os2 Os 0.000 0.000 0.000
Sc1 Sc 0.750 0.250 0.500